Entry 1:
First-principles (GGA-PBE) data for a geometry-optimized CoIrRh2 structure, as listed in Alexandria.

Cell and atoms, written as POSCAR:
```
CoIrRh2
1.0
-1.657 -2.765 -1.815
3.090 -0.570 -1.953
2.022 -3.883 7.838
Co Rh Ir
2 4 2
direct
0.250 0.750 0.500 Co
0.500 0.500 0.000 Co
0.614 0.625 0.750 Rh
0.875 0.386 0.250 Rh
0.136 0.125 0.750 Rh
0.375 0.864 0.250 Rh
0.000 0.000 0.000 Ir
0.750 0.250 0.500 Ir
```

## Properties
Energy above the lowest structure with this stoichiometry ... 440.5 meV per atom
Density of states at the Fermi level ... 11.17 states/eV per cell
Raw total energy ... -7.205 eV/atom

***

Entry 2:
First-principles (GGA-PBE) data for a geometry-optimized CoIr3Rh structure, as listed in Alexandria.

Cell and atoms, written as POSCAR:
```
CoIr3Rh
1.0
4.404 0.000 0.000
0.000 4.404 0.000
0.000 0.000 4.404
Rh Co Ir
1 1 3
direct
0.500 0.500 0.500 Rh
0.000 0.000 0.000 Co
0.000 0.000 0.500 Ir
0.500 0.000 0.000 Ir
0.000 0.500 0.000 Ir
```

## Properties
Energy above the lowest structure with this stoichiometry ... 1081.6 meV per atom
Density of states at the Fermi level ... 8.25 states/eV per cell
Raw total energy ... -6.670 eV/atom